(1)
{
  "formula": "CaPm4Zn4",
  "functional": "PBE",
  "state": "relaxed",
  "formation_energy_ev_per_atom": -0.077,
  "lattice_angstrom": [[-5.516, -0.616, 1.730], [1.942, -8.873, 3.032], [2.320, 3.455, 8.625]],
  "species": ["Pm", "Zn", "Pm", "Zn", "Zn", "Pm", "Pm", "Pm", "Zn", "Zn", "Pm", "Pm", "Ca", "Pm", "Zn", "Ca", "Zn", "Zn"],
  "frac_coords": [[0.617, 0.088, 0.338], [0.120, 0.855, 0.732], [0.117, 0.162, 0.588], [0.880, 0.268, 0.855], [0.880, 0.732, 0.145], [0.883, 0.588, 0.838], [0.117, 0.838, 0.412], [0.383, 0.662, 0.088], [0.120, 0.145, 0.268], [0.380, 0.645, 0.768], [0.383, 0.338, 0.912], [0.883, 0.412, 0.162], [0.500, 0.500, 0.500], [0.617, 0.912, 0.662], [0.380, 0.355, 0.232], [0.000, 0.000, 0.000], [0.620, 0.768, 0.355], [0.620, 0.232, 0.645]]
}

(2)
{
  "formula": "CaPm2Zn",
  "functional": "PBE",
  "state": "relaxed",
  "formation_energy_ev_per_atom": -0.007,
  "polymorph_energy_mev_per_atom": 110,
  "lattice_angstrom": [[-2.541, -1.442, 2.311], [0.379, -3.492, 1.240], [4.916, 1.969, 9.639]],
  "species": ["Ca", "Zn", "Pm", "Pm"],
  "frac_coords": [[0.500, 0.500, 0.500], [0.000, 0.000, 0.000], [0.734, 0.734, 0.797], [0.266, 0.266, 0.203]]
}

(3)
{
  "formula": "CaPmZn4",
  "functional": "PBE",
  "state": "relaxed",
  "formation_energy_ev_per_atom": -0.323,
  "polymorph_energy_mev_per_atom": 0,
  "lattice_angstrom": [[-2.448, 1.858, 3.337], [-4.870, -2.983, 1.172], [1.282, -2.195, 5.247]],
  "species": ["Zn", "Zn", "Ca", "Pm", "Zn", "Zn"],
  "frac_coords": [[0.667, 0.593, 0.073], [0.333, 0.407, 0.927], [0.000, 0.500, 0.500], [0.000, 0.000, 0.000], [0.667, 0.073, 0.593], [0.333, 0.927, 0.407]]
}

(4)
{
  "formula": "CaPm2Zn",
  "functional": "PBE",
  "state": "relaxed",
  "formation_energy_ev_per_atom": -0.117,
  "polymorph_energy_mev_per_atom": 0,
  "lattice_angstrom": [[3.734, 0.000, 0.000], [0.000, 3.734, 0.000], [0.000, 0.000, 8.980]],
  "species": ["Zn", "Pm", "Ca", "Pm"],
  "frac_coords": [[0.500, 0.500, 0.000], [0.000, 0.000, 0.190], [0.500, 0.500, 0.500], [0.000, 0.000, 0.810]]
}

(5)
{
  "formula": "Ca2PmZn",
  "functional": "PBE",
  "state": "relaxed",
  "formation_energy_ev_per_atom": -0.049,
  "polymorph_energy_mev_per_atom": 35,
  "lattice_angstrom": [[-1.101, 0.976, -3.291], [-3.318, 0.583, 1.284], [2.344, 9.110, 1.918]],
  "species": ["Pm", "Zn", "Ca", "Ca"],
  "frac_coords": [[0.500, 0.500, 0.500], [0.500, 0.500, 0.000], [0.000, 0.000, 0.196], [0.000, 0.000, 0.804]]
}

(6)
{
  "formula": "CaPm5Zn3",
  "functional": "PBE",
  "state": "relaxed",
  "formation_energy_ev_per_atom": -0.141,
  "lattice_angstrom": [[-4.634, -0.635, 5.129], [-5.188, -5.232, -5.336], [6.365, -3.788, 5.282]],
  "species": ["Pm", "Zn", "Pm", "Ca", "Zn", "Pm", "Zn", "Pm", "Ca", "Zn", "Pm", "Pm", "Pm", "Pm", "Zn", "Pm", "Zn", "Pm"],
  "frac_coords": [[0.750, 0.332, 0.000], [0.250, 0.000, 0.335], [0.750, 0.000, 0.332], [0.500, 0.000, 0.000], [0.750, 0.000, 0.665], [0.750, 0.668, 0.668], [0.750, 0.665, 0.000], [0.500, 0.333, 0.667], [0.000, 0.000, 0.000], [0.250, 0.335, 0.000], [0.250, 0.000, 0.668], [0.250, 0.668, 0.000], [0.250, 0.332, 0.332], [0.000, 0.667, 0.333], [0.750, 0.335, 0.335], [0.500, 0.667, 0.333], [0.250, 0.665, 0.665], [0.000, 0.333, 0.667]]
}